1.
PaBiSb2N: relaxed, PBE.

a = 4.0193 Å, b = 4.0193 Å, c = 16.6184 Å
α = 90.00°, β = 90.00°, γ = 90.00°
Space group P4/nmm (No. 129, origin choice 2)
Unique sites:
Pa: 0.2500 0.2500 0.0691
Bi: 0.2500 0.2500 0.6500
Sb: 0.2500 0.2500 0.4317
Sb: 0.2500 0.2500 0.8307
N: 0.2500 0.7500 0.0000

Calculated values
Crystal system: tetragonal
Raw formation energy: -0.6455 eV/atom



2.
La7Pr4Nd: relaxed, PBE.

a = 17.1974 Å, b = 6.1918 Å, c = 10.3802 Å
α = 90.00°, β = 126.21°, γ = 90.00°
Space group C2/m (No. 12)
Unique sites:
La: 0.0000 0.0000 0.0000
La: 0.0779 0.5000 0.4362
La: 0.2109 0.5000 0.8786
La: 0.2415 0.0000 0.7253
Pr: 0.0476 0.0000 0.7173
Pr: 0.1836 0.0000 0.3657
Nd: 0.0000 0.5000 0.0000

Calculated values
Energy relative to the lowest polymorph listed for this composition: 0.186 eV per atom
Crystal system: monoclinic
Energy of formation from the pure elements: 0.196 eV/atom



3.
Li3SnPd7: relaxed, PBE.

a = 8.7520 Å, b = 8.1069 Å, c = 5.0888 Å
α = 90.00°, β = 95.07°, γ = 90.00°
Space group C2/m (No. 12)
Unique sites:
Li: 0.0000 0.0000 0.0000
Li: 0.0000 0.1869 0.5000
Sn: 0.0000 0.5000 0.0000
Pd: 0.0000 0.5000 0.5000
Pd: 0.2261 0.0000 0.7232
Pd: 0.2492 0.3321 0.7629

Calculated values
Crystal system: monoclinic
Energy of formation from the pure elements: -0.283 eV/atom



4.
LaLuZn4: relaxed, PBE.

a = 7.8183 Å, b = 7.8183 Å, c = 7.8183 Å
α = 90.00°, β = 90.00°, γ = 90.00°
Space group F-43m (No. 216)
Unique sites:
La: 0.0000 0.0000 0.0000
Lu: 0.2500 0.2500 0.2500
Zn: 0.1243 0.1243 0.6243

Calculated values
Crystal system: cubic
Energy of formation from the pure elements: -0.310 eV/atom



5.
SmTm7In4: relaxed, PBE.

a = 14.3592 Å, b = 5.5998 Å, c = 10.3899 Å
α = 90.00°, β = 123.93°, γ = 90.00°
Space group C2/m (No. 12)
Unique sites:
Sm: 0.0000 0.0000 0.0000
Tm: 0.0000 0.5000 0.0000
Tm: 0.0637 0.0000 0.3977
Tm: 0.2127 0.0000 0.8756
Tm: 0.2186 0.5000 0.6590
In: 0.0624 0.5000 0.7606
In: 0.1814 0.5000 0.3343

Calculated values
Crystal system: monoclinic
Energy of formation from the pure elements: -0.070 eV/atom



6.
Cs2ReI6Br: relaxed, PBE.

a = 8.5011 Å, b = 8.5011 Å, c = 12.7630 Å
α = 90.00°, β = 90.00°, γ = 90.00°
Space group I4/mmm (No. 139)
Unique sites:
Cs: 0.0000 0.5000 0.2500
Re: 0.0000 0.0000 0.0000
I: 0.0000 0.0000 0.2143
I: 0.2298 0.2298 0.0000
Br: 0.0000 0.0000 0.5000

Calculated values
Crystal system: tetragonal
Raw formation energy: -0.5470 eV/atom